This record from Alexandria describes a geometry-optimized PrPaGe2 structure. The functional is PBE-GGA.

Results
distance to the lowest polymorph of the same formula = 0.238 eV/atom
D(E_F) = 1.922 states/eV/atom
theoretical density = 9.0 g cm⁻³

Cell: 7.2432 7.2432 7.2432 Å, 90.00 90.00 90.00°
Fractional positions:
Pr: 0.0000 0.0000 0.0000
Pr: 0.0000 0.5000 0.5000
Pr: 0.5000 0.0000 0.5000
Pr: 0.5000 0.5000 0.0000
Pa: 0.0000 0.0000 0.5000
Pa: 0.0000 0.5000 0.0000
Pa: 0.5000 0.0000 0.0000
Pa: 0.5000 0.5000 0.5000
Ge: 0.2500 0.2500 0.2500
Ge: 0.2500 0.2500 0.7500
Ge: 0.2500 0.7500 0.2500
Ge: 0.2500 0.7500 0.7500
Ge: 0.7500 0.2500 0.2500
Ge: 0.7500 0.2500 0.7500
Ge: 0.7500 0.7500 0.2500
Ge: 0.7500 0.7500 0.7500

This record from Alexandria describes a geometry-optimized La8Nd2Sc3 structure. The functional is PBE-GGA.

Results
D(E_F) = 1.598 states/eV/atom
E_tot = -65.9 eV/f.u.
theoretical density = 5.8 g cm⁻³

Cell: 8.9427 8.9427 6.0586 Å, 106.98 106.98 81.22°
Fractional positions:
La: 0.0823 0.0823 0.2488
La: 0.1097 0.5800 0.8521
La: 0.3644 0.3644 0.3835
La: 0.4200 0.8903 0.1479
La: 0.5800 0.1097 0.8521
La: 0.6356 0.6356 0.6165
La: 0.8903 0.4200 0.1479
La: 0.9177 0.9177 0.7512
Nd: 0.1839 0.1839 0.8211
Nd: 0.8161 0.8161 0.1789
Sc: 0.2345 0.7655 0.5000
Sc: 0.5000 0.5000 0.0000
Sc: 0.7655 0.2345 0.5000

This record from Alexandria describes a geometry-optimized EuNiSn structure. The functional is PBE-GGA.

Results
D(E_F) = 0.543 states/eV/atom
E_tot = -20.9 eV/f.u.
theoretical density = 8.1 g cm⁻³

Cell: 3.4486 3.4486 11.3024 Å, 90.00 90.00 90.00°
Fractional positions:
Eu: 0.0000 0.0000 0.0000
Eu: 0.5000 0.5000 0.5000
Ni: 0.0000 0.0000 0.3098
Ni: 0.5000 0.5000 0.8098
Sn: 0.0000 0.0000 0.7128
Sn: 0.5000 0.5000 0.2128

This record from Alexandria describes a geometry-optimized CrHg2Os structure. The functional is PBE-GGA.

Results
distance to the lowest polymorph of the same formula = 0.439 eV/atom
D(E_F) = 0.950 states/eV/atom
theoretical density = 15.1 g cm⁻³

Cell: 2.9059 4.1690 5.8525 Å, 90.00 90.00 90.00°
Fractional positions:
Cr: 0.0000 0.0000 0.0000
Hg: 0.5000 0.5000 0.2499
Hg: 0.5000 0.5000 0.7501
Os: 0.0000 0.0000 0.5000

This record from Alexandria describes a geometry-optimized Li2MoOs structure. The functional is PBE-GGA.

Results
distance to the lowest polymorph of the same formula = 0.189 eV/atom
D(E_F) = 0.688 states/eV/atom
theoretical density = 8.6 g cm⁻³

Cell: 2.5430 4.5238 5.0258 Å, 90.00 90.00 90.00°
Fractional positions:
Li: 0.0000 0.0000 0.2387
Li: 0.0000 0.0000 0.7613
Mo: 0.5000 0.5000 0.5000
Os: 0.5000 0.5000 0.0000

This record from Alexandria describes a geometry-optimized BaZn3Pd structure. The functional is PBE-GGA.

Results
distance to the lowest polymorph of the same formula = 0.006 eV/atom
D(E_F) = 0.486 states/eV/atom
theoretical density = 6.3 g cm⁻³

Cell: 8.3625 6.6341 8.8677 Å, 90.00 109.07 90.00°
Fractional positions:
Ba: 0.1688 0.0031 0.2241
Ba: 0.1688 0.4969 0.7241
Ba: 0.8312 0.5031 0.2759
Ba: 0.8312 0.9969 0.7759
Zn: 0.1465 0.5075 0.0928
Zn: 0.1465 0.9925 0.5928
Zn: 0.3553 0.5078 0.3762
Zn: 0.3553 0.9922 0.8762
Zn: 0.4201 0.1872 0.5963
Zn: 0.4201 0.3128 0.0963
Zn: 0.5799 0.6872 0.9037
Zn: 0.5799 0.8128 0.4037
Zn: 0.6447 0.0078 0.1238
Zn: 0.6447 0.4922 0.6238
Zn: 0.8535 0.0075 0.4072
Zn: 0.8535 0.4925 0.9072
Pd: 0.4177 0.7068 0.1058
Pd: 0.4177 0.7932 0.6058
Pd: 0.5823 0.2068 0.3942
Pd: 0.5823 0.2932 0.8942

This record from Alexandria describes a geometry-optimized VGeTe2I structure. The functional is PBE-GGA.

Results
distance to the lowest polymorph of the same formula = 0.000 eV/atom
raw formation energy = 0.346 eV per atom
D(E_F) = 0.770 states/eV/atom
theoretical density = 5.5 g cm⁻³

Cell: 5.2425 5.2425 5.5403 Å, 90.00 90.00 90.00°
Fractional positions:
V: 0.0000 0.0000 0.0000
Ge: 0.5000 0.5000 0.5000
Te: 0.0000 0.5000 0.0000
Te: 0.5000 0.0000 0.0000
I: 0.0000 0.0000 0.5000

This record from Alexandria describes a geometry-optimized SrSmO4 structure. The functional is PBE-GGA.

Results
raw formation energy = -2.324 eV per atom
D(E_F) = 0.518 states/eV/atom
theoretical density = 5.2 g cm⁻³

Cell: 6.9955 3.9533 6.9574 Å, 90.00 95.61 90.00°
Fractional positions:
Sr: 0.0000 0.0000 0.0000
Sr: 0.5000 0.5000 0.0000
Sm: 0.1311 0.5000 0.5795
Sm: 0.6311 0.0000 0.5795
O: 0.1607 0.5000 0.8995
O: 0.2332 0.0000 0.3403
O: 0.3997 0.0000 0.2532
O: 0.4631 0.5000 0.6140
O: 0.6607 0.0000 0.8995
O: 0.7332 0.5000 0.3403
O: 0.8997 0.5000 0.2532
O: 0.9631 0.0000 0.6140

This record from Alexandria describes a geometry-optimized ErPu2Rh structure. The functional is PBE-GGA.

Results
D(E_F) = 3.981 states/eV/atom
E_tot = -40.1 eV/f.u.
theoretical density = 11.9 g cm⁻³

Cell: 3.4710 3.4710 30.4313 Å, 90.00 90.00 120.00°
Fractional positions:
Er: 0.0000 0.0000 0.0000
Er: 0.3333 0.6667 0.6667
Er: 0.6667 0.3333 0.3333
Pu: 0.0000 0.0000 0.1025
Pu: 0.0000 0.0000 0.8975
Pu: 0.3333 0.6667 0.5641
Pu: 0.3333 0.6667 0.7692
Pu: 0.6667 0.3333 0.2308
Pu: 0.6667 0.3333 0.4359
Rh: 0.0000 0.0000 0.5000
Rh: 0.3333 0.6667 0.1667
Rh: 0.6667 0.3333 0.8333

This record from Alexandria describes a geometry-optimized Zn2CuSe structure. The functional is PBE-GGA.

Results
raw formation energy = 0.018 eV per atom
D(E_F) = 0.184 states/eV/atom
theoretical density = 6.8 g cm⁻³

Cell: 2.7753 3.8291 6.2600 Å, 90.00 90.08 90.00°
Fractional positions:
Zn: 0.0000 0.0000 0.0000
Zn: 0.5003 0.5000 0.2302
Cu: 0.0007 0.0000 0.4089
Se: 0.9986 0.5000 0.6927

This record from Alexandria describes a geometry-optimized NdGdErTl structure. The functional is PBE-GGA.

Results
D(E_F) = 1.238 states/eV/atom
E_tot = -26.1 eV/f.u.
theoretical density = 9.4 g cm⁻³

Cell: 7.8178 7.8178 7.8178 Å, 90.00 90.00 90.00°
Fractional positions:
Nd: 0.0000 0.0000 0.0000
Nd: 0.0000 0.5000 0.5000
Nd: 0.5000 0.0000 0.5000
Nd: 0.5000 0.5000 0.0000
Gd: 0.0000 0.0000 0.5000
Gd: 0.0000 0.5000 0.0000
Gd: 0.5000 0.0000 0.0000
Gd: 0.5000 0.5000 0.5000
Er: 0.2500 0.2500 0.2500
Er: 0.2500 0.7500 0.7500
Er: 0.7500 0.2500 0.7500
Er: 0.7500 0.7500 0.2500
Tl: 0.2500 0.2500 0.7500
Tl: 0.2500 0.7500 0.2500
Tl: 0.7500 0.2500 0.2500
Tl: 0.7500 0.7500 0.7500

This record from Alexandria describes a geometry-optimized Na2SrCd2Pb2 structure. The functional is PBE-GGA.

Results
D(E_F) = 0.526 states/eV/atom
E_tot = -15.2 eV/f.u.
theoretical density = 6.4 g cm⁻³

Cell: 10.8892 5.1740 7.1041 Å, 90.00 94.15 90.00°
Fractional positions:
Na: 0.1089 0.0000 0.2022
Na: 0.3911 0.5000 0.7978
Na: 0.6089 0.5000 0.2022
Na: 0.8911 0.0000 0.7978
Sr: 0.0000 0.5000 0.5000
Sr: 0.5000 0.0000 0.5000
Cd: 0.1291 0.5000 0.9528
Cd: 0.3709 0.0000 0.0472
Cd: 0.6291 0.0000 0.9528
Cd: 0.8709 0.5000 0.0472
Pb: 0.1880 0.0000 0.6923
Pb: 0.3120 0.5000 0.3077
Pb: 0.6880 0.5000 0.6923
Pb: 0.8120 0.0000 0.3077

This record from Alexandria describes a geometry-optimized K2LiFe structure. The functional is PBE-GGA.

Results
distance to the lowest polymorph of the same formula = 0.251 eV/atom
D(E_F) = 0.638 states/eV/atom
theoretical density = 1.5 g cm⁻³

Cell: 9.5297 9.5297 6.7263 Å, 90.00 90.00 90.00°
Fractional positions:
K: 0.2352 0.2500 0.1250
K: 0.2500 0.7352 0.3750
K: 0.2500 0.7648 0.8750
K: 0.2648 0.2500 0.6250
K: 0.7352 0.7500 0.6250
K: 0.7500 0.2352 0.8750
K: 0.7500 0.2648 0.3750
K: 0.7648 0.7500 0.1250
Li: 0.0000 0.0000 0.5000
Li: 0.0000 0.5000 0.7500
Li: 0.5000 0.0000 0.2500
Li: 0.5000 0.5000 0.0000
Fe: 0.0000 0.0000 0.0000
Fe: 0.0000 0.5000 0.2500
Fe: 0.5000 0.0000 0.7500
Fe: 0.5000 0.5000 0.5000

This record from Alexandria describes a geometry-optimized TmHf2Nb structure. The functional is PBE-GGA.

Results
distance to the lowest polymorph of the same formula = 0.000 eV/atom
D(E_F) = 1.535 states/eV/atom
theoretical density = 11.1 g cm⁻³

Cell: 3.5562 3.5562 7.2979 Å, 90.00 90.00 90.00°
Fractional positions:
Tm: 0.0000 0.0000 0.0000
Hf: 0.5000 0.5000 0.2959
Hf: 0.5000 0.5000 0.7041
Nb: 0.0000 0.0000 0.5000

This record from Alexandria describes a geometry-optimized Cs3Mg2Br2Cl5 structure. The functional is PBE-GGA.

Results
raw formation energy = -1.865 eV per atom
D(E_F) = 0.000 states/eV/atom
theoretical density = 3.4 g cm⁻³

Cell: 14.5343 14.5343 14.5343 Å, 159.43 159.43 29.25°
Fractional positions:
Cs: 0.0000 0.0000 0.0000
Cs: 0.1793 0.1793 0.0000
Cs: 0.8207 0.8207 0.0000
Mg: 0.4091 0.4091 0.0000
Mg: 0.5909 0.5909 0.0000
Br: 0.3136 0.3136 0.0000
Br: 0.6864 0.6864 0.0000
Cl: 0.0902 0.5902 0.5000
Cl: 0.4098 0.9098 0.5000
Cl: 0.5000 0.5000 0.0000
Cl: 0.5902 0.0902 0.5000
Cl: 0.9098 0.4098 0.5000

This record from Alexandria describes a geometry-optimized GeOs3Pt structure. The functional is PBE-GGA.

Results
distance to the lowest polymorph of the same formula = 0.688 eV/atom
D(E_F) = 1.363 states/eV/atom
theoretical density = 12.9 g cm⁻³

Cell: 4.7648 4.7648 4.7648 Å, 90.00 90.00 90.00°
Fractional positions:
Ge: 0.0000 0.0000 0.0000
Os: 0.0000 0.5000 0.5000
Os: 0.5000 0.0000 0.5000
Os: 0.5000 0.5000 0.0000
Pt: 0.5000 0.5000 0.5000

This record from Alexandria describes a geometry-optimized PmAl8Co4 structure. The functional is PBE-GGA.

Results
D(E_F) = 0.898 states/eV/atom
E_tot = -69.6 eV/f.u.
theoretical density = 5.2 g cm⁻³

Cell: 6.5898 6.5898 6.5898 Å, 98.68 98.68 134.28°
Fractional positions:
Pm: 0.0000 0.0000 0.0000
Al: 0.0000 0.3411 0.3411
Al: 0.0000 0.6589 0.6589
Al: 0.2758 0.5000 0.7758
Al: 0.3411 0.0000 0.3411
Al: 0.5000 0.2758 0.7758
Al: 0.5000 0.7242 0.2242
Al: 0.6589 0.0000 0.6589
Al: 0.7242 0.5000 0.2242
Co: 0.0000 0.0000 0.5000
Co: 0.0000 0.5000 0.0000
Co: 0.5000 0.0000 0.0000
Co: 0.5000 0.5000 0.5000

This record from Alexandria describes a geometry-optimized Cs2FeCoS4 structure. The functional is PBE-GGA.

Results
raw formation energy = -0.794 eV per atom
D(E_F) = 0.646 states/eV/atom
theoretical density = 3.6 g cm⁻³

Cell: 14.2980 12.6787 7.6108 Å, 85.77 62.17 32.06°
Fractional positions:
Cs: 0.0516 0.0516 0.6984
Cs: 0.3016 0.3016 0.9484
Cs: 0.6984 0.6984 0.0516
Cs: 0.9484 0.9484 0.3016
Fe: 0.1250 0.1250 0.1250
Fe: 0.8750 0.8750 0.8750
Co: 0.3750 0.3750 0.3750
Co: 0.6250 0.6250 0.6250
S: 0.0117 0.3369 0.4121
S: 0.2608 0.5879 0.6631
S: 0.3369 0.0117 0.7392
S: 0.4121 0.7392 0.0117
S: 0.5879 0.2608 0.9883
S: 0.6631 0.9883 0.2608
S: 0.7392 0.4121 0.3369
S: 0.9883 0.6631 0.5879

This record from Alexandria describes a geometry-optimized LaYMo2 structure. The functional is PBE-GGA.

Results
distance to the lowest polymorph of the same formula = 0.235 eV/atom
D(E_F) = 1.137 states/eV/atom
theoretical density = 7.5 g cm⁻³

Cell: 3.4069 5.2384 10.3455 Å, 90.00 90.00 90.00°
Fractional positions:
La: 0.0000 0.0000 0.0000
La: 0.5000 0.5000 0.0000
Y: 0.0000 0.5000 0.6607
Y: 0.5000 0.0000 0.6607
Mo: 0.0000 0.0000 0.4254
Mo: 0.0000 0.5000 0.2467
Mo: 0.5000 0.0000 0.2467
Mo: 0.5000 0.5000 0.4254

This record from Alexandria describes a geometry-optimized La2PrNd4 structure. The functional is PBE-GGA.

Results
distance to the lowest polymorph of the same formula = 0.083 eV/atom
D(E_F) = 1.552 states/eV/atom
theoretical density = 6.3 g cm⁻³

Cell: 7.1067 7.1421 10.7562 Å, 90.01 90.00 106.69°
Fractional positions:
La: 0.0000 0.0000 0.0000
La: 0.0000 0.0000 0.5000
La: 0.0000 0.5000 0.0000
La: 0.5000 0.0000 0.0000
Pr: 0.0000 0.5000 0.5000
Pr: 0.5000 0.5000 0.5000
Nd: 0.2691 0.3117 0.7821
Nd: 0.2697 0.8115 0.7159
Nd: 0.2719 0.3127 0.2171
Nd: 0.2728 0.8127 0.2852
Nd: 0.7272 0.1873 0.7148
Nd: 0.7281 0.6873 0.7829
Nd: 0.7303 0.1885 0.2841
Nd: 0.7309 0.6883 0.2179